The following is a DFT calculation (PBE) of crystalline TlSnHgF2 at its relaxed geometry.

Cell lengths 4.5059, 4.5059, 6.0920 Å; angles 90.00, 90.00, 90.00 degrees
Fractional positions:
Tl: 0.0000 0.0000 0.0000
Sn: 0.0000 0.0000 0.5000
Hg: 0.5000 0.5000 0.0000
F: 0.0000 0.5000 0.5000
F: 0.5000 0.0000 0.5000

Calculated values
DOS at the Fermi energy: 0.17 states/eV/atom
formation energy from raw total energies: -1.233 eV/atom
relative energy among the computed polymorphs: 0.046 eV per atom
space-group type: No. 123
magnetization: 0.00 μB/f.u.

***

The following is a DFT calculation (PBE) of crystalline NbCdSbAs2 at its relaxed geometry.

Cell lengths 5.3077, 5.3077, 5.2232 Å; angles 90.00, 90.00, 90.00 degrees
Fractional positions:
Nb: 0.0000 0.0000 0.0000
Cd: 0.5000 0.5000 0.0000
Sb: 0.5000 0.5000 0.5000
As: 0.0000 0.5000 0.5000
As: 0.5000 0.0000 0.5000

Calculated values
DOS at the Fermi energy: 0.92 states/eV/atom
formation energy from raw total energies: 1.300 eV/atom
space-group type: No. 123
magnetization: 2.83 μB/f.u.

***

The following is a DFT calculation (PBE) of crystalline Dy2Pd2Pt3 at its relaxed geometry.

Cell lengths 7.1181, 7.1181, 7.1181 Å; angles 109.47, 109.47, 109.47 degrees
Fractional positions:
Dy: 0.0000 0.9943 0.5000
Dy: 0.5000 0.0000 0.9943
Dy: 0.5057 0.5057 0.5057
Dy: 0.9943 0.5000 0.0000
Pd: 0.0000 0.6269 0.5000
Pd: 0.5000 0.0000 0.6269
Pd: 0.6269 0.5000 0.0000
Pd: 0.8731 0.8731 0.8731
Pt: 0.0097 0.2500 0.2597
Pt: 0.2403 0.4903 0.7500
Pt: 0.2500 0.2597 0.0097
Pt: 0.2597 0.0097 0.2500
Pt: 0.4903 0.7500 0.2403
Pt: 0.7500 0.2403 0.4903

Calculated values
DOS at the Fermi energy: 0.67 states/eV/atom
relative energy among the computed polymorphs: 0.033 eV per atom
space-group type: No. 199
magnetization: 0.00 μB/f.u.

***

The following is a DFT calculation (PBE) of crystalline Li4Cd5Cu at its relaxed geometry.

Cell lengths 3.3342, 3.3342, 15.9832 Å; angles 90.00, 90.00, 90.00 degrees
Fractional positions:
Li: 0.0000 0.0000 0.1007
Li: 0.0000 0.0000 0.3043
Li: 0.0000 0.0000 0.6957
Li: 0.0000 0.0000 0.8993
Cd: 0.5000 0.5000 0.0000
Cd: 0.5000 0.5000 0.2019
Cd: 0.5000 0.5000 0.4044
Cd: 0.5000 0.5000 0.5956
Cd: 0.5000 0.5000 0.7981
Cu: 0.0000 0.0000 0.5000

Calculated values
total DFT energy (no corrections): -0.0672 Ha/atom
DOS at the Fermi energy: 0.38 states/eV/atom
space-group type: No. 123
magnetization: 0.00 μB/f.u.

***

The following is a DFT calculation (PBE) of crystalline Cs3Tm5S12 at its relaxed geometry.

Cell lengths 15.2556, 15.2556, 15.2556 Å; angles 109.47, 109.47, 109.47 degrees
Fractional positions:
Cs: 0.1250 0.2500 0.3750
Cs: 0.1250 0.3750 0.7500
Cs: 0.2500 0.3750 0.1250
Cs: 0.2500 0.8750 0.6250
Cs: 0.3750 0.1250 0.2500
Cs: 0.3750 0.7500 0.1250
Cs: 0.6250 0.2500 0.8750
Cs: 0.6250 0.8750 0.7500
Cs: 0.7500 0.1250 0.3750
Cs: 0.7500 0.6250 0.8750
Cs: 0.8750 0.6250 0.2500
Cs: 0.8750 0.7500 0.6250
Tm: 0.0000 0.0000 0.0000
Tm: 0.0000 0.0000 0.5000
Tm: 0.0000 0.5000 0.0000
Tm: 0.0000 0.5000 0.5000
Tm: 0.1250 0.7500 0.8750
Tm: 0.1250 0.8750 0.2500
Tm: 0.2500 0.1250 0.8750
Tm: 0.2500 0.6250 0.3750
Tm: 0.3750 0.2500 0.6250
Tm: 0.3750 0.6250 0.7500
Tm: 0.5000 0.0000 0.0000
Tm: 0.5000 0.0000 0.5000
Tm: 0.5000 0.5000 0.0000
Tm: 0.5000 0.5000 0.5000
Tm: 0.6250 0.3750 0.2500
Tm: 0.6250 0.7500 0.3750
Tm: 0.7500 0.3750 0.6250
Tm: 0.7500 0.8750 0.1250
Tm: 0.8750 0.1250 0.7500
Tm: 0.8750 0.2500 0.1250
S: 0.0036 0.1839 0.1008
S: 0.0036 0.3197 0.9028
S: 0.0831 0.6839 0.6803
S: 0.0831 0.8992 0.4028
S: 0.0972 0.6008 0.4169
S: 0.0972 0.9964 0.6803
S: 0.1008 0.0036 0.1839
S: 0.1008 0.5972 0.9169
S: 0.1803 0.1839 0.5831
S: 0.1803 0.4964 0.5972
S: 0.1839 0.1008 0.0036
S: 0.1839 0.5831 0.1803
S: 0.3161 0.3197 0.9169
S: 0.3161 0.4964 0.3992
S: 0.3197 0.9028 0.0036
S: 0.3197 0.9169 0.3161
S: 0.3992 0.3161 0.4964
S: 0.3992 0.5831 0.9028
S: 0.4028 0.0831 0.8992
S: 0.4028 0.8197 0.5036
S: 0.4169 0.0972 0.6008
S: 0.4169 0.8197 0.8161
S: 0.4964 0.3992 0.3161
S: 0.4964 0.5972 0.1803
S: 0.5036 0.4028 0.8197
S: 0.5036 0.6008 0.6839
S: 0.5831 0.1803 0.1839
S: 0.5831 0.9028 0.3992
S: 0.5972 0.1803 0.4964
S: 0.5972 0.9169 0.1008
S: 0.6008 0.4169 0.0972
S: 0.6008 0.6839 0.5036
S: 0.6803 0.0831 0.6839
S: 0.6803 0.0972 0.9964
S: 0.6839 0.5036 0.6008
S: 0.6839 0.6803 0.0831
S: 0.8161 0.4169 0.8197
S: 0.8161 0.8992 0.9964
S: 0.8197 0.5036 0.4028
S: 0.8197 0.8161 0.4169
S: 0.8992 0.4028 0.0831
S: 0.8992 0.9964 0.8161
S: 0.9028 0.0036 0.3197
S: 0.9028 0.3992 0.5831
S: 0.9169 0.1008 0.5972
S: 0.9169 0.3161 0.3197
S: 0.9964 0.6803 0.0972
S: 0.9964 0.8161 0.8992

Calculated values
DOS at the Fermi energy: 0.97 states/eV/atom
formation energy from raw total energies: -1.147 eV/atom
space-group type: No. 230
magnetization: 6.15 μB/f.u.

***

The following is a DFT calculation (PBE) of crystalline Ac2B7Rh12 at its relaxed geometry.

Cell lengths 8.4591, 8.4591, 4.9087 Å; angles 90.00, 90.00, 120.00 degrees
Fractional positions:
Ac: 0.3333 0.6667 0.3254
Ac: 0.6667 0.3333 0.6746
B: 0.0000 0.0000 0.5000
B: 0.1007 0.7061 0.9060
B: 0.2939 0.3945 0.9060
B: 0.3945 0.1007 0.0940
B: 0.6055 0.8993 0.9060
B: 0.7061 0.6055 0.0940
B: 0.8993 0.2939 0.0940
Rh: 0.0813 0.2314 0.2477
Rh: 0.0966 0.4593 0.8010
Rh: 0.1501 0.9187 0.2477
Rh: 0.2314 0.1501 0.7523
Rh: 0.3627 0.9034 0.8010
Rh: 0.4593 0.3627 0.1990
Rh: 0.5407 0.6373 0.8010
Rh: 0.6373 0.0966 0.1990
Rh: 0.7686 0.8499 0.2477
Rh: 0.8499 0.0813 0.7523
Rh: 0.9034 0.5407 0.1990
Rh: 0.9187 0.7686 0.7523

Calculated values
total DFT energy (no corrections): -0.2619 Ha/atom
DOS at the Fermi energy: 0.47 states/eV/atom
space-group type: No. 147
magnetization: 0.00 μB/f.u.

***

The following is a DFT calculation (PBE) of crystalline KErPuF6 at its relaxed geometry.

Cell lengths 6.4805, 6.4805, 9.2954 Å; angles 90.00, 90.00, 120.00 degrees
Fractional positions:
K: 0.0000 0.0000 0.0000
K: 0.0000 0.0000 0.5000
Er: 0.3333 0.6667 0.2500
Er: 0.6667 0.3333 0.7500
Pu: 0.3333 0.6667 0.7500
Pu: 0.6667 0.3333 0.2500
F: 0.0308 0.3827 0.1352
F: 0.0308 0.6481 0.3648
F: 0.3519 0.3827 0.3648
F: 0.3519 0.9692 0.1352
F: 0.3827 0.0308 0.6352
F: 0.3827 0.3519 0.8648
F: 0.6173 0.6481 0.1352
F: 0.6173 0.9692 0.3648
F: 0.6481 0.0308 0.8648
F: 0.6481 0.6173 0.6352
F: 0.9692 0.3519 0.6352
F: 0.9692 0.6173 0.8648

Calculated values
DOS at the Fermi energy: 1.13 states/eV/atom
formation energy from raw total energies: -3.434 eV/atom
space-group type: No. 163
magnetization: 5.88 μB/f.u.

***

The following is a DFT calculation (PBE) of crystalline Ba2MgZnHg6 at its relaxed geometry.

Cell lengths 6.5419, 7.3521, 7.6169 Å; angles 73.85, 67.88, 65.44 degrees
Fractional positions:
Ba: 0.2304 0.2177 0.2867
Ba: 0.7696 0.7823 0.7133
Mg: 0.5000 0.5000 0.5000
Zn: 0.0000 0.0000 0.0000
Hg: 0.2209 0.7468 0.2643
Hg: 0.2622 0.2356 0.7621
Hg: 0.2749 0.6231 0.8764
Hg: 0.7251 0.3769 0.1236
Hg: 0.7378 0.7644 0.2379
Hg: 0.7791 0.2532 0.7357

Calculated values
total DFT energy (no corrections): -0.0420 Ha/atom
DOS at the Fermi energy: 0.58 states/eV/atom
space-group type: No. 2
magnetization: 0.00 μB/f.u.

***

The following is a DFT calculation (PBE) of crystalline AcSm2Dy8 at its relaxed geometry.

Cell lengths 9.5018, 9.5018, 9.5018 Å; angles 146.17, 128.36, 63.18 degrees
Fractional positions:
Ac: 0.0000 0.0000 0.0000
Sm: 0.3009 0.3009 0.0000
Sm: 0.6991 0.6991 0.0000
Dy: 0.1509 0.8553 0.2957
Dy: 0.1615 0.6615 0.5000
Dy: 0.2973 0.5000 0.7973
Dy: 0.4404 0.1447 0.2957
Dy: 0.5596 0.8553 0.7043
Dy: 0.7027 0.5000 0.2027
Dy: 0.8385 0.3385 0.5000
Dy: 0.8491 0.1447 0.7043

Calculated values
total DFT energy (no corrections): -0.1634 Ha/atom
DOS at the Fermi energy: 1.39 states/eV/atom
space-group type: No. 71
magnetization: 0.00 μB/f.u.

***

The following is a DFT calculation (PBE) of crystalline Sc2BeRh at its relaxed geometry.

Cell lengths 10.0762, 3.0388, 4.5691 Å; angles 90.00, 107.03, 90.00 degrees
Fractional positions:
Sc: 0.0000 0.0000 0.0000
Sc: 0.2119 0.0000 0.6492
Sc: 0.5000 0.5000 0.0000
Sc: 0.7119 0.5000 0.6492
Be: 0.2612 0.5000 0.1806
Be: 0.7612 0.0000 0.1806
Rh: 0.4344 0.0000 0.4482
Rh: 0.9344 0.5000 0.4482

Calculated values
total DFT energy (no corrections): -0.2333 Ha/atom
DOS at the Fermi energy: 0.88 states/eV/atom
space-group type: No. 8
magnetization: 0.00 μB/f.u.

***

The following is a DFT calculation (PBE) of crystalline Er3TmTh2As6 at its relaxed geometry.

Cell lengths 9.2526, 9.2526, 8.2649 Å; angles 102.79, 102.79, 25.93 degrees
Fractional positions:
Er: 0.0000 0.0000 0.0000
Er: 0.3334 0.3334 0.6659
Er: 0.6666 0.6666 0.3341
Tm: 0.0000 0.0000 0.5000
Th: 0.3354 0.3354 0.1701
Th: 0.6646 0.6646 0.8299
As: 0.1647 0.1647 0.0890
As: 0.1659 0.1659 0.5750
As: 0.4971 0.4971 0.7475
As: 0.5029 0.5029 0.2525
As: 0.8341 0.8341 0.4250
As: 0.8353 0.8353 0.9110

Calculated values
total DFT energy (no corrections): -0.2407 Ha/atom
DOS at the Fermi energy: 0.33 states/eV/atom
space-group type: No. 12
magnetization: 0.00 μB/f.u.

***

The following is a DFT calculation (PBE) of crystalline BeGa2AuS at its relaxed geometry.

Cell lengths 4.9994, 4.9994, 5.0244 Å; angles 90.00, 90.00, 90.00 degrees
Fractional positions:
Be: 0.0000 0.0000 0.0000
Ga: 0.0000 0.5000 0.5000
Ga: 0.5000 0.0000 0.5000
Au: 0.5000 0.5000 0.5000
S: 0.5000 0.5000 0.0000

Calculated values
DOS at the Fermi energy: 0.40 states/eV/atom
formation energy from raw total energies: 0.757 eV/atom
space-group type: No. 123
magnetization: 0.00 μB/f.u.